# LiIrRh2, optimized geometry, DFT GGA-PBE
data_LiIrRh2
_space_group_name_H-M_alt 'P 1'
_space_group_IT_number 1
_space_group_name_Hall 'P 1'
_cell_length_a 2.793
_cell_length_b 4.441
_cell_length_c 4.468
_cell_angle_alpha 90.00
_cell_angle_beta 90.00
_cell_angle_gamma 90.00
loop_
_atom_site_label
_atom_site_type_symbol
_atom_site_fract_x
_atom_site_fract_y
_atom_site_fract_z
Li1 Li 0.000 0.000 0.000
Ir1 Ir 0.500 0.000 0.500
Rh1 Rh 0.000 0.500 0.500
Rh2 Rh 0.500 0.500 0.000
# ΔH_f (0 K)   0.31 eV/f.u.
# Size of the total moment   0.799 μB per formula unit
# E_tot   -25.2 eV per cell
# Space-group type   Pmmm, No. 47
# Density   12.14 g cm⁻³